[1]
4
Lattice="4.9289 0.0000 0.0000 2.4644 4.2685 0.0000 2.4644 1.4228 4.0244" Properties=species:S:1:pos:R:3 comment="PBE ThTlCuPd, relaxed" vol_a3_per_cell=84.67 final_energy_ev_per_atom=-5.12 formation_energy_ev_per_atom=-0.35 pbc="T T T"
Cu 2.4644 1.4228 1.0061
Tl 4.9289 2.8457 2.0122
Pd 7.3933 4.2685 3.0183
Th 0.0000 0.0000 0.0000

=====

[2]
5
Lattice="5.0067 0.0000 0.0000 0.0000 4.8281 0.0000 0.0000 0.0000 4.8281" Properties=species:S:1:pos:R:3 comment="PBE PmDy2CdN, relaxed" vol_a3_per_cell=116.71 final_energy_ev_per_atom=-5.45 pbc="T T T"
Cd 2.5033 2.4140 2.4140
Dy 0.0000 0.0000 2.4140
Dy 0.0000 2.4140 0.0000
Pm 2.5033 0.0000 0.0000
N 0.0000 0.0000 0.0000

=====

[3]
11
Lattice="5.4741 0.0000 0.0000 0.0000 7.4700 -0.2220 -2.7371 -3.4698 8.7510" Properties=species:S:1:pos:R:3 comment="PBE Tb8Pr2Ga, relaxed" vol_a3_per_cell=353.63 final_energy_ev_per_atom=-4.53 formation_energy_ev_per_atom=-0.02 pbc="T T T"
Ga 2.7371 0.0000 0.0000
Tb 2.7371 2.0215 2.1919
Tb 2.7371 5.5936 2.0942
Tb 0.0000 0.0994 3.1467
Tb 0.0000 -1.5934 6.4348
Tb 0.0000 1.9787 6.3371
Tb 2.7371 -1.6590 8.6945
Tb 2.7371 3.9008 5.3823
Tb 0.0000 5.6591 -0.1655
Pr 2.7371 0.1641 5.3257
Pr 0.0000 3.8360 3.2033

=====

[4]
48
Lattice="-4.2212 -3.1082 6.1086 8.4247 0.2380 5.9428 -2.4754 9.5098 3.1283" Properties=species:S:1:pos:R:3 comment="PBE KTeOF3, relaxed" vol_a3_per_cell=856.06 final_energy_ev_per_atom=-4.65 de_polymorph_mev_per_atom=0 pbc="T T T"
F 2.2590 2.2675 5.5550
F 2.5193 8.4708 9.7707
F 0.4038 6.6910 9.2971
F -1.7005 2.6064 7.9180
F -2.2302 3.9566 5.4657
F 1.4680 2.5894 10.0989
F 4.2941 4.5967 6.8902
F -4.5174 5.2554 6.4399
F 0.0827 -0.0063 9.0771
F 4.9848 0.4559 10.5641
F 5.3836 7.2518 9.8735
F -4.4348 0.4447 7.4589
F 1.0776 -0.2331 6.2396
F -1.3949 1.0523 2.0348
F -1.3151 4.4659 10.3868
F 3.5995 -2.1399 9.5423
F -4.1320 7.1149 8.9087
F 0.3945 4.2227 4.0052
F 5.0837 0.6932 4.1757
F 4.2050 2.8646 9.3570
F 0.4695 -0.9030 3.5846
F 0.6189 8.8729 5.2524
F 1.4297 5.8157 6.7874
F 2.1884 3.2683 13.4724
O 2.8199 5.7971 9.1574
O 2.1338 -0.2579 10.9059
O -0.2604 1.4545 4.8192
O -2.0369 5.3200 7.6474
O -3.7956 4.4013 9.1793
O 1.1245 1.8652 2.7706
O 3.9935 7.2704 7.5035
O 2.9337 0.7074 8.7353
Te -2.5852 5.8530 9.5917
Te 2.0216 7.2726 8.1940
Te 1.4632 0.6604 4.4436
Te 3.2187 1.4777 10.4868
Te -0.5991 2.6593 3.1463
Te 1.8488 -1.0282 9.1544
Te 4.7917 5.7949 8.4670
Te -3.2473 3.8683 7.2350
K 0.8641 3.3198 7.5898
K -0.8057 6.4148 5.3591
K -1.6786 0.1058 6.8492
K 4.6444 1.7789 6.7663
K 2.9747 4.8739 4.5355
K -2.1106 -1.5541 3.0543
K 1.2961 4.9797 11.3848
K 0.0000 0.0000 0.0000

=====

[5]
5
Lattice="-3.0600 1.8272 2.2955 1.3886 -2.0966 3.5199 2.5992 3.2267 0.8965" Properties=species:S:1:pos:R:3 comment="PBE NaBe2CoSi, relaxed" vol_a3_per_cell=77.74 final_energy_ev_per_atom=-3.67 pbc="T T T"
Si 0.0000 0.0000 0.0000
Be -1.5300 0.9136 1.1477
Be 1.2996 1.6133 0.4483
Co 0.6943 -1.0483 1.7600
Na 0.4639 1.4786 3.3560

=====

[6]
4
Lattice="-1.4939 -2.7094 -2.6055 -0.1865 -3.9071 1.0301 -7.3967 -1.1382 2.2850" Properties=species:S:1:pos:R:3 comment="PBE Nd2GeRh, relaxed" vol_a3_per_cell=105.82 final_energy_ev_per_atom=-5.89 formation_energy_ev_per_atom=-0.52 pbc="T T T"
Ge 0.0000 0.0000 0.0000
Rh -4.5386 -3.8773 0.3548
Nd -6.6702 -5.8375 0.4757
Nd -2.4069 -1.9172 0.2340

=====

[7]
24
Lattice="10.6591 0.0000 0.0000 0.0000 13.6229 -7.8652 0.0000 0.0000 15.7303" Properties=species:S:1:pos:R:3 comment="PBE Cs8Rb3Sb, relaxed" vol_a3_per_cell=2284.14 final_energy_ev_per_atom=-1.25 pbc="T T T"
Cs 2.9320 7.7118 7.8651
Cs 7.6154 4.5409 7.8651
Cs 5.2085 0.0000 0.0000
Cs 8.2615 10.6673 -2.7461
Cs 5.1788 7.2414 -3.1878
Cs 5.1788 12.7628 0.0000
Cs 8.2615 5.9110 0.0000
Cs 2.9320 2.9555 10.6112
Cs 10.5083 6.3814 11.0529
Cs 2.2858 9.0819 0.0000
Cs 8.2615 10.6673 2.7460
Cs 10.5083 6.3814 4.6774
Cs 10.5083 0.8600 7.8651
Cs 5.1788 7.2414 3.1877
Cs 10.5381 0.0000 0.0000
Cs 2.9320 2.9555 5.1191
Rb 2.5296 4.1739 0.0000
Rb 2.5296 11.5359 4.2504
Rb 7.8591 9.4489 7.8651
Rb 2.5296 11.5359 -4.2504
Rb 7.8591 2.0869 3.6147
Rb 7.8591 2.0869 12.1155
Sb 6.1309 9.0819 0.0000
Sb 0.8014 4.5409 7.8651